(1)
SmHoTl after structural relaxation. Source: Alexandria via LeMat-Bulk, functional PBE.

Summary:
Calculated formation energy ... 0.2198 eV per atom
Space-group type ... Cmmm

Cell: 9.401 9.813 4.978 Å, 90.00 90.00 90.00°
Fractional coordinates of all 12 atoms:
Sm1 0.000 0.189 0.000
Sm2 0.000 0.811 0.000
Sm3 0.500 0.311 0.000
Sm4 0.500 0.689 0.000
Ho1 0.186 0.500 0.500
Ho2 0.314 0.000 0.500
Ho3 0.686 0.000 0.500
Ho4 0.814 0.500 0.500
Tl1 0.000 0.000 0.500
Tl2 0.000 0.500 0.000
Tl3 0.500 0.000 0.000
Tl4 0.500 0.500 0.500

---

(2)
Sm6Ho3Tl after structural relaxation. Source: Alexandria via LeMat-Bulk, functional PBE.

Summary:
Calculated formation energy ... 0.0198 eV per atom
Space-group type ... P2_1/m

Cell: 12.317 3.599 14.766 Å, 90.00 93.85 90.00°
Fractional coordinates of all 20 atoms:
Sm1 0.063 0.250 0.390
Sm2 0.120 0.750 0.953
Sm3 0.200 0.250 0.751
Sm4 0.294 0.750 0.312
Sm5 0.309 0.250 0.107
Sm6 0.387 0.250 0.497
Sm7 0.613 0.750 0.503
Sm8 0.691 0.750 0.893
Sm9 0.706 0.250 0.688
Sm10 0.800 0.750 0.249
Sm11 0.880 0.250 0.047
Sm12 0.937 0.750 0.610
Ho1 0.074 0.750 0.181
Ho2 0.400 0.750 0.919
Ho3 0.449 0.750 0.697
Ho4 0.551 0.250 0.303
Ho5 0.600 0.250 0.081
Ho6 0.926 0.250 0.819
Tl1 0.188 0.750 0.558
Tl2 0.812 0.250 0.442

---

(3)
Sm2Ho3Tl after structural relaxation. Source: Alexandria via LeMat-Bulk, functional PBE.

Summary:
Calculated formation energy ... 0.1203 eV per atom
Space-group type ... Imm2

Cell: 3.458 17.476 6.427 Å, 90.00 90.00 90.00°
Fractional coordinates of all 12 atoms:
Sm1 0.000 0.190 0.000
Sm2 0.000 0.810 0.000
Sm3 0.500 0.310 0.500
Sm4 0.500 0.690 0.500
Ho1 0.000 0.136 0.494
Ho2 0.000 0.500 0.700
Ho3 0.000 0.864 0.494
Ho4 0.500 0.000 0.200
Ho5 0.500 0.364 0.994
Ho6 0.500 0.636 0.994
Tl1 0.000 0.000 0.782
Tl2 0.500 0.500 0.282

---

(4)
Sm4Ho7Tl after structural relaxation. Source: Alexandria via LeMat-Bulk, functional PBE.

Summary:
Calculated formation energy ... 0.1918 eV per atom
Space-group type ... C2/m

Cell: 6.763 6.763 12.394 Å, 112.62 112.62 51.12°
Fractional coordinates of all 12 atoms:
Sm1 0.126 0.126 0.268
Sm2 0.333 0.333 0.867
Sm3 0.667 0.667 0.133
Sm4 0.874 0.874 0.732
Ho1 0.000 0.000 0.500
Ho2 0.132 0.132 0.982
Ho3 0.299 0.299 0.577
Ho4 0.403 0.403 0.221
Ho5 0.597 0.597 0.779
Ho6 0.701 0.701 0.423
Ho7 0.868 0.868 0.018
Tl1 0.500 0.500 0.500

---

| no. | total moment (μB per formula unit) |
| --- | --- |
| 1 | 0.96 |
| 2 | 0.00 |
| 3 | 0.00 |
| 4 | 0.00 |